1.
This record from Alexandria via LeMat-Bulk describes an optimized crystal structure of SmRu2C. The functional is PBE.

Calculated values
* excess energy over the best structure of this formula in the dataset: 0 meV/atom
* calculated density: 9.529 g/cm3
* SG: Cmmm, No. 65
* total magnetization: 0.0 μB/f.u.
* ΔE_f: 0.040 eV/atom

Lattice parameters (Å, degrees): 3.1966 4.9823 4.7026 121.99 90.00 90.00
Closest atoms and distances in Å follow each position.
Sites, in units of the cell vectors:
1 C 0.5000 0.0000 0.0000  4 Ru 2.06
2 Ru 0.0000 0.8377 0.6754  2 C 2.06
3 Ru 0.0000 0.1623 0.3246  2 C 2.06
4 Sm 0.5000 0.5000 0.0000  2 C 2.49

2.
This record from Alexandria via LeMat-Bulk describes an optimized crystal structure of ErPu6Se8. The functional is PBE.

Calculated values
* calculated density: 9.332 g/cm3
* SG: Fm-3m, No. 225
* total magnetization: 34.5 μB/f.u.
* formation energy (no corrections): -1586 meV/atom

Lattice parameters (Å, degrees): 8.2886 8.2886 8.2886 60.00 60.00 60.00
Closest atoms and distances in Å follow each position.
Sites, in units of the cell vectors:
1 Pu 0.5000 0.0000 0.5000  6 Se 2.93
2 Pu 0.0000 0.5000 0.0000  6 Se 2.93
3 Pu 0.5000 0.5000 0.0000  6 Se 2.93
4 Pu 0.0000 0.0000 0.5000  6 Se 2.93
5 Pu 0.5000 0.0000 0.0000  6 Se 2.93
6 Pu 0.0000 0.5000 0.5000  6 Se 2.93
7 Se 0.2458 0.2458 0.7542  1 Er 2.88, 4 Pu 2.93
8 Se 0.2458 0.7542 0.2458  1 Er 2.88, 4 Pu 2.93
9 Se 0.2500 0.2500 0.2500  6 Pu 2.93
10 Se 0.7542 0.2458 0.2458  1 Er 2.88, 4 Pu 2.93
11 Se 0.7500 0.7500 0.7500  6 Pu 2.93
12 Se 0.2458 0.7542 0.7542  1 Er 2.88, 4 Pu 2.93
13 Se 0.7542 0.2458 0.7542  1 Er 2.88, 4 Pu 2.93
14 Se 0.7542 0.7542 0.2458  1 Er 2.88, 4 Pu 2.93
15 Er 0.0000 0.0000 0.0000  6 Se 2.88

3.
This record from Alexandria via LeMat-Bulk describes an optimized crystal structure of TiCuRh. The functional is PBE.

Calculated values
* excess energy over the best structure of this formula in the dataset: 2 meV/atom
* calculated density: 8.373 g/cm3
* SG: I4mm, No. 107
* total magnetization: 0.0 μB/f.u.
* ΔE_f: -0.479 eV/atom

Lattice parameters (Å, degrees): 3.1932 3.1932 4.7408 109.68 109.68 90.00
Closest atoms and distances in Å follow each position.
Sites, in units of the cell vectors:
1 Ti 0.9540 0.9540 0.9080  5 Rh 2.61-2.86, 5 Cu 2.66-2.76
2 Cu 0.2855 0.2855 0.5710  5 Ti 2.66-2.76, 5 Rh 2.69-2.71
3 Rh 0.6105 0.6105 0.2210  5 Ti 2.61-2.86, 5 Cu 2.69-2.71

4.
This record from Alexandria via LeMat-Bulk describes an optimized crystal structure of Dy2PuPt. The functional is PBE.

Calculated values
* excess energy over the best structure of this formula in the dataset: 0 meV/atom
* calculated density: 12.261 g/cm3
* SG: P4/mmm, No. 123
* total magnetization: 6.9 μB/f.u.
* ΔE_f: -0.520 eV/atom

Lattice parameters (Å, degrees): 3.5222 3.5222 8.3414 90.00 90.00 90.00
Closest atoms and distances in Å follow each position.
Sites, in units of the cell vectors:
1 Dy 0.0000 0.0000 0.1993  4 Pt 2.99, 1 Dy 3.33
2 Dy 0.0000 0.0000 0.8007  4 Pt 2.99, 1 Dy 3.33
3 Pt 0.5000 0.5000 0.0000  8 Dy 2.99
4 Pu 0.5000 0.5000 0.5000  4 Pu 3.52, 8 Dy 3.53

5.
This record from Alexandria via LeMat-Bulk describes an optimized crystal structure of NpVAs. The functional is PBE.

Calculated values
* calculated density: 10.998 g/cm3
* SG: I4mm, No. 107
* total magnetization: 2.9 μB/f.u.
* ΔE_f: -0.118 eV/atom

Lattice parameters (Å, degrees): 3.2621 3.2621 5.6415 106.80 106.80 90.00
Closest atoms and distances in Å follow each position.
Sites, in units of the cell vectors:
1 As 0.0322 0.0322 0.0645  4 V 2.55
2 Np 0.3289 0.3289 0.6577  5 V 3.02-3.19, 5 As 3.05-3.12, 4 Np 3.26
3 V 0.6389 0.6389 0.2778  4 As 2.55

6.
This record from Alexandria via LeMat-Bulk describes an optimized crystal structure of Tm6Hg5Pb. The functional is PBE.

Calculated values
* calculated density: 12.192 g/cm3
* SG: P2/m, No. 10
* total magnetization: 0.0 μB/f.u.
* ΔE_f: -0.455 eV/atom

Lattice parameters (Å, degrees): 5.2607 7.2836 8.3505 90.00 71.19 90.00
Closest atoms and distances in Å follow each position.
Sites, in units of the cell vectors:
1 Tm 0.8310 0.7456 0.3386  7 Hg 3.11-3.22, 1 Pb 3.26
2 Tm 0.8310 0.2544 0.3386  7 Hg 3.11-3.22, 1 Pb 3.26
3 Tm 0.1690 0.7456 0.6614  7 Hg 3.11-3.22, 1 Pb 3.26
4 Tm 0.5000 0.2536 0.0000  6 Hg 3.16-3.30, 2 Pb 3.21
5 Tm 0.5000 0.7464 0.0000  6 Hg 3.16-3.30, 2 Pb 3.21
6 Tm 0.1690 0.2544 0.6614  7 Hg 3.11-3.22, 1 Pb 3.26
7 Hg 0.3358 0.5000 0.3291  8 Tm 3.16-3.18
8 Hg 0.6723 0.0000 0.6542  8 Tm 3.11-3.30
9 Hg 0.3277 0.0000 0.3458  8 Tm 3.11-3.30
10 Hg 0.6642 0.5000 0.6709  8 Tm 3.16-3.18
11 Hg 0.0000 0.5000 0.0000  8 Tm 3.18-3.22
12 Pb 0.0000 0.0000 0.0000  8 Tm 3.21-3.26

no.,VASP energy (Ry per atom)
1,-0.5941
2,-0.6969
3,-0.5091
4,-0.5817
5,-0.6630
6,-0.2298